<A>
{"formula": "MgSbH", "functional": "PBE", "state": "optimized geometry", "lattice_angstrom": [[-3.6163, -3.5463, -5.8131], [-2.2334, -3.0197, 3.2316], [-5.8697, 5.8471, 1.4070]], "species": ["H", "H", "H", "H", "Mg", "Mg", "Mg", "Mg", "Sb", "Sb", "Sb", "Sb"], "frac_coords": [[0.8714, 0.0765, 0.0713], [0.8714, 0.9235, 0.0713], [0.8714, 0.5765, 0.5713], [0.8714, 0.4235, 0.5713], [0.5177, 0.5000, 0.5028], [0.2186, 0.0000, 0.4306], [0.2186, 0.5000, 0.9306], [0.5177, 0.0000, 0.0028], [0.1823, 0.0000, 0.7656], [0.1823, 0.5000, 0.2656], [0.5434, 0.5000, 0.1675], [0.5434, 0.0000, 0.6675]], "m_tot_mub_per_fu": 0.00, "space_group": "Cm, No. 8"}



<B>
{"formula": "MgSbH", "functional": "PBE", "state": "optimized geometry", "lattice_angstrom": [[5.3270, 0.0000, 0.0000], [0.0000, 5.1871, 0.0000], [0.0000, 0.0000, 9.6819]], "species": ["H", "H", "H", "H", "Mg", "Mg", "Mg", "Mg", "Sb", "Sb", "Sb", "Sb"], "frac_coords": [[0.7500, 0.0492, 0.4627], [0.7500, 0.4508, 0.9627], [0.2500, 0.9508, 0.5373], [0.2500, 0.5492, 0.0373], [0.2500, 0.5732, 0.4003], [0.7500, 0.4268, 0.5997], [0.2500, 0.9268, 0.9003], [0.7500, 0.0732, 0.0997], [0.7500, 0.7749, 0.3559], [0.2500, 0.2749, 0.1441], [0.2500, 0.2251, 0.6441], [0.7500, 0.7251, 0.8559]], "n_ef_per_ev_cell": 0.06, "m_tot_mub_per_fu": 0.00, "space_group": "Pnma, No. 62"}



<C>
{"formula": "MgSbH", "functional": "PBE", "state": "optimized geometry", "lattice_angstrom": [[5.6411, 0.0000, 0.0000], [0.0000, 4.1276, 0.0000], [0.0000, 0.0000, 4.6391]], "species": ["H", "H", "Sb", "Sb", "Mg", "Mg"], "frac_coords": [[0.5000, 0.5000, 0.1595], [0.5000, 0.0000, 0.6595], [0.0000, 0.0000, 0.2403], [0.0000, 0.5000, 0.7403], [0.5000, 0.5000, 0.5745], [0.5000, 0.0000, 0.0745]], "n_ef_per_ev_cell": 0.50, "m_tot_mub_per_fu": 0.00, "space_group": "Amm2, No. 38"}



Winner for stability: <A>



<A>
{"formula": "MgSbH3", "functional": "PBE", "state": "optimized geometry", "lattice_angstrom": [[4.1450, 0.0000, 0.0000], [0.0000, 4.1450, 0.0000], [0.0000, 0.0000, 4.1450]], "species": ["H", "H", "H", "Mg", "Sb"], "frac_coords": [[0.0000, 0.5000, 0.0000], [0.0000, 0.0000, 0.5000], [0.5000, 0.0000, 0.0000], [0.5000, 0.5000, 0.5000], [0.0000, 0.0000, 0.0000]], "n_ef_per_ev_cell": 1.47, "m_tot_mub_per_fu": 0.00, "space_group": "Pm-3m, No. 221"}



<B>
{"formula": "MgSbH3", "functional": "PBE", "state": "optimized geometry", "lattice_angstrom": [[-3.4068, 0.3142, 1.7739], [-0.9714, -3.5161, -1.2428], [1.5171, -1.5458, 3.1875]], "species": ["H", "H", "H", "Mg", "Sb"], "frac_coords": [[0.0000, 0.0000, 0.5000], [0.0000, 0.5000, 0.0000], [0.5000, 0.0000, 0.0000], [0.0000, 0.0000, 0.0000], [0.5000, 0.5000, 0.5000]], "n_ef_per_ev_cell": 2.82, "m_tot_mub_per_fu": 0.00, "space_group": "Pm-3m, No. 221"}



Winner for stability: <B>



<A>
{"formula": "MgSb2H2", "functional": "PBE", "state": "optimized geometry", "lattice_angstrom": [[-0.3901, -5.3855, -0.3856], [0.9484, -2.1683, -8.6751], [5.6134, -3.0590, 0.5676]], "species": ["Mg", "Mg", "Sb", "Sb", "Sb", "Sb", "H", "H", "H", "H"], "frac_coords": [[0.0902, 0.8196, 0.5000], [0.9098, 0.1804, 0.5000], [0.3484, 0.5729, 0.7442], [0.9213, 0.4271, 0.7442], [0.0787, 0.5729, 0.2558], [0.6516, 0.4271, 0.2558], [0.8176, 0.0000, 0.4572], [0.9659, 0.0000, 0.6849], [0.1824, 0.0000, 0.5428], [0.0341, 0.0000, 0.3151]], "n_ef_per_ev_cell": 1.25, "m_tot_mub_per_fu": 0.00, "space_group": "C2/m, No. 12"}



<B>
{"formula": "MgSb2H2", "functional": "PBE", "state": "optimized geometry", "lattice_angstrom": [[-1.5879, 1.3880, 2.6724], [2.1882, -1.5437, 2.1020], [4.6902, 5.6477, 2.0218]], "species": ["Sb", "Sb", "Mg", "H", "H"], "frac_coords": [[0.3557, 0.3557, 0.2885], [0.6443, 0.6443, 0.7115], [0.0000, 0.0000, 0.0000], [0.7500, 0.2500, 0.5000], [0.2500, 0.7500, 0.5000]], "n_ef_per_ev_cell": 1.85, "m_tot_mub_per_fu": 0.00, "space_group": "I4/mmm, No. 139"}



Winner for stability: <A>



<A>
{"formula": "MgSbH2", "functional": "PBE", "state": "optimized geometry", "lattice_angstrom": [[1.4521, 1.8089, 3.5266], [-2.5331, 0.4290, 3.3492], [0.6550, -2.3356, 3.4545]], "species": ["Sb", "H", "H", "Mg"], "frac_coords": [[0.5000, 0.5000, 0.5000], [0.7500, 0.7500, 0.7500], [0.2500, 0.2500, 0.2500], [0.0000, 0.0000, 0.0000]], "n_ef_per_ev_cell": 2.62, "m_tot_mub_per_fu": 0.00, "space_group": "Fm-3m, No. 225"}



<B>
{"formula": "MgSbH2", "functional": "PBE", "state": "optimized geometry", "lattice_angstrom": [[-2.8029, 0.1633, 4.4079], [-3.7755, -2.7892, -2.2975], [-1.3450, -5.0780, 2.4310]], "species": ["Sb", "Sb", "Mg", "Mg", "H", "H", "H", "H"], "frac_coords": [[0.7500, 0.2500, 0.5000], [0.0000, 0.0000, 0.0000], [0.2500, 0.7500, 0.5000], [0.5000, 0.5000, 0.0000], [0.4850, 0.1250, 0.2500], [0.3750, 0.5150, 0.7500], [0.8750, 0.7350, 0.7500], [0.2650, 0.6250, 0.2500]], "n_ef_per_ev_cell": 1.39, "m_tot_mub_per_fu": 0.00, "space_group": "I-42d, No. 122"}



Winner for stability: <B>



<A>
{"formula": "MgSb2TeH", "functional": "PBE", "state": "optimized geometry", "lattice_angstrom": [[5.4224, 0.0000, 0.0000], [0.0000, 5.4224, 0.0000], [0.0000, 0.0000, 5.4953]], "species": ["Sb", "Sb", "Mg", "H", "Te"], "frac_coords": [[0.0000, 0.5000, 0.0000], [0.5000, 0.0000, 0.0000], [0.0000, 0.0000, 0.0000], [0.5000, 0.5000, 0.5000], [0.0000, 0.0000, 0.5000]], "n_ef_per_ev_cell": 2.34, "m_tot_mub_per_fu": 0.95, "space_group": "P4/mmm, No. 123"}



<B>
{"formula": "MgSb2TeH", "functional": "PBE", "state": "optimized geometry", "lattice_angstrom": [[-0.7928, 4.2345, 0.1205], [-3.4101, -0.5651, -2.5742], [-3.7865, -0.8570, 5.2042]], "species": ["Te", "Sb", "Sb", "H", "Mg"], "frac_coords": [[0.0000, 0.0000, 0.5000], [0.0000, 0.5000, 0.0000], [0.5000, 0.0000, 0.0000], [0.0000, 0.0000, 0.0000], [0.5000, 0.5000, 0.5000]], "n_ef_per_ev_cell": 2.08, "m_tot_mub_per_fu": 0.00, "space_group": "P4/mmm, No. 123"}



Winner for stability: <B>



<A>
{"formula": "MgScH2", "functional": "PBE", "state": "optimized geometry", "lattice_angstrom": [[-2.1532, 0.9970, 3.9370], [-1.2907, -4.3931, 0.4065], [2.3863, -2.6743, 4.6659]], "species": ["Mg", "Mg", "H", "H", "H", "H", "Sc", "Sc"], "frac_coords": [[0.2500, 0.7500, 0.5000], [0.5000, 0.5000, 0.0000], [0.6596, 0.1250, 0.2500], [0.8750, 0.9096, 0.7500], [0.3750, 0.3404, 0.7500], [0.0904, 0.6250, 0.2500], [0.0000, 0.0000, 0.0000], [0.7500, 0.2500, 0.5000]], "n_ef_per_ev_cell": 2.60, "m_tot_mub_per_fu": 0.00, "space_group": "I-42d, No. 122"}



<B>
{"formula": "MgScH2", "functional": "PBE", "state": "optimized geometry", "lattice_angstrom": [[-0.2205, -2.7941, 2.8936], [-3.5339, -1.7302, 0.8642], [-0.6448, -3.8567, -0.9689]], "species": ["Sc", "H", "H", "Mg"], "frac_coords": [[0.5000, 0.5000, 0.5000], [0.7500, 0.7500, 0.7500], [0.2500, 0.2500, 0.2500], [0.0000, 0.0000, 0.0000]], "n_ef_per_ev_cell": 3.51, "m_tot_mub_per_fu": 0.00, "space_group": "Fm-3m, No. 225"}



Winner for stability: <A>